(1)
## Be2PRh (GGA-PBE)

Data for a relaxed structure of Be2PRh.

Cell and atoms, written as POSCAR:
```
Be2PRh
1.0
-1.082 -2.476 2.348
0.241 -2.512 -2.539
3.192 -0.572 0.868
Be P Rh
2 1 1
Cartesian
0.000 0.000 0.000
-0.421 -2.494 -0.096
1.055 -1.524 1.608
1.716 -1.542 -0.835
```

Computed properties:
- density of states at the Fermi level (states/eV/f.u.) = 1.5
- total magnetization (μB/f.u.) = 0.00
- calculated density (g/cm³) = 5.9
- E_form (eV per atom) = -0.271


(2)
## LiCoTc2As (GGA-PBE)

Data for a relaxed structure of LiCoTc2As.

Cell and atoms, written as POSCAR:
```
LiCoTc2As
1.0
4.586 0.000 0.000
0.000 4.256 0.000
0.000 0.000 4.586
As Co Tc Li
1 1 2 1
Cartesian
0.000 0.000 0.000
2.293 2.128 2.293
2.293 0.000 0.000
0.000 0.000 2.293
0.000 2.128 0.000
```

Computed properties:
- density of states at the Fermi level (states/eV/f.u.) = 6.7
- total magnetization (μB/f.u.) = 4.81
- calculated density (g/cm³) = 6.2
- E_form (eV per atom) = 1.051


(3)
## FeBr3 (GGA-PBE)

Data for a relaxed structure of FeBr3.

Cell and atoms, written as POSCAR:
```
FeBr3
1.0
4.641 0.000 0.000
0.000 4.641 0.000
0.000 0.000 4.641
Br Fe
3 1
Cartesian
0.000 2.320 2.320
2.320 0.000 2.320
2.320 2.320 0.000
0.000 0.000 0.000
```

Computed properties:
- density of states at the Fermi level (states/eV/f.u.) = 7.4
- total magnetization (μB/f.u.) = 5.06
- raw formation energy (kcal/mol of atoms) = 16.60
- calculated density (g/cm³) = 4.9


(4)
## LaTcHg2S (GGA-PBE)

Data for a relaxed structure of LaTcHg2S.

Cell and atoms, written as POSCAR:
```
LaTcHg2S
1.0
-2.315 -3.592 3.051
4.656 -1.556 1.701
-0.262 3.492 3.912
Hg Tc S La
2 1 1 1
Cartesian
-1.157 -1.796 1.525
-0.131 1.746 1.956
0.000 0.000 0.000
1.039 -0.828 4.332
2.328 -0.778 0.850
```

Computed properties:
- density of states at the Fermi level (states/eV/f.u.) = 3.3
- total magnetization (μB/f.u.) = 1.30
- raw formation energy (kcal/mol of atoms) = 4.77
- calculated density (g/cm³) = 7.8


(5)
## ReNi6Rh2 (GGA-PBE)

Data for a relaxed structure of ReNi6Rh2.

Cell and atoms, written as POSCAR:
```
ReNi6Rh2
1.0
13.235 -3.090 -0.238
-1.603 4.356 1.732
-2.398 0.757 4.269
Ni Re Rh
12 2 4
Cartesian
9.264 0.454 2.927
12.456 -2.120 0.241
4.917 1.300 4.084
5.707 -1.171 0.780
6.712 0.589 2.320
3.527 3.194 4.984
-1.560 3.483 3.753
10.793 -1.459 2.011
2.521 1.435 3.443
4.316 0.724 1.680
-0.030 1.570 2.836
-3.222 4.143 5.522
1.655 3.353 1.835
7.579 -1.330 3.928
8.167 -1.294 1.384
7.551 1.169 4.686
1.067 3.318 4.380
1.683 0.855 1.077
```

Computed properties:
- density of states at the Fermi level (states/eV/f.u.) = 14.8
- total magnetization (μB/f.u.) = 0.00
- calculated density (g/cm³) = 11.3
- E_form (eV per atom) = 0.019


(6)
## ErRePb2O6 (GGA-PBE)

Data for a relaxed structure of ErRePb2O6.

Cell and atoms, written as POSCAR:
```
ErRePb2O6
1.0
5.844 0.000 0.000
0.000 6.062 0.000
0.000 0.000 8.347
Er O Pb Re
2 12 4 2
Cartesian
0.000 4.370 4.173
2.922 1.692 0.000
1.504 2.792 4.173
2.922 1.327 2.198
4.394 0.089 4.173
0.000 4.735 1.975
2.922 1.327 6.148
4.372 5.973 0.000
0.000 4.735 6.372
1.450 0.089 4.173
4.340 2.792 4.173
1.418 3.270 0.000
1.472 5.973 0.000
4.426 3.270 0.000
2.922 4.871 6.512
0.000 1.191 6.008
0.000 1.191 2.339
2.922 4.871 1.835
0.000 4.581 0.000
2.922 1.481 4.173
```

Computed properties:
- density of states at the Fermi level (states/eV/f.u.) = 3.8
- total magnetization (μB/f.u.) = 1.97
- raw formation energy (kcal/mol of atoms) = -42.21
- calculated density (g/cm³) = 9.7


(7)
## LiZrTe2 (GGA-PBE)

Data for a relaxed structure of LiZrTe2.

Cell and atoms, written as POSCAR:
```
LiZrTe2
1.0
-1.630 -1.449 2.854
4.416 -2.043 1.485
1.024 4.182 2.709
Li Te Zr
1 2 1
Cartesian
-0.303 1.366 2.781
2.720 1.069 2.097
0.000 0.000 0.000
1.393 -1.746 2.169
```

Computed properties:
- density of states at the Fermi level (states/eV/f.u.) = 1.8
- total magnetization (μB/f.u.) = 0.00
- raw formation energy (kcal/mol of atoms) = -13.31
- calculated density (g/cm³) = 6.3


(8)
## V3Pd2Pt2 (GGA-PBE)

Data for a relaxed structure of V3Pd2Pt2.

Cell and atoms, written as POSCAR:
```
V3Pd2Pt2
1.0
3.841 0.000 0.510
0.000 2.709 0.000
0.630 0.000 9.980
V Pt Pd
3 2 2
Cartesian
0.000 0.000 0.000
3.484 0.000 3.205
0.988 0.000 7.285
2.729 1.354 8.893
1.743 1.354 1.597
3.080 1.354 6.250
1.392 1.354 4.240
```

Computed properties:
- density of states at the Fermi level (states/eV/f.u.) = 5.3
- total magnetization (μB/f.u.) = 0.00
- energy above the most stable polymorph in this dataset (meV per atom) = 0
- calculated density (g/cm³) = 12.2
- E_form (eV per atom) = -0.338


(9)
## La4GaBiC (GGA-PBE)

Data for a relaxed structure of La4GaBiC.

Cell and atoms, written as POSCAR:
```
La4GaBiC
1.0
7.119 0.000 0.000
0.000 7.130 0.000
-3.559 0.000 8.535
C La Bi Ga
2 8 2 2
Cartesian
3.559 1.782 3.876
0.000 5.347 4.659
1.780 3.565 4.267
-1.780 0.000 4.267
1.780 0.000 4.267
3.559 1.782 1.489
3.559 1.782 7.378
0.000 5.347 1.157
0.000 5.347 7.046
-1.780 3.565 4.267
0.000 1.782 6.671
3.559 5.347 1.863
3.559 5.347 6.554
0.000 1.782 1.980
```

Computed properties:
- density of states at the Fermi level (states/eV/f.u.) = 2.4
- total magnetization (μB/f.u.) = 0.00
- calculated density (g/cm³) = 6.5
- E_form (eV per atom) = -0.482


(10)
## Cd2TcCl (GGA-PBE)

Data for a relaxed structure of Cd2TcCl.

Cell and atoms, written as POSCAR:
```
Cd2TcCl
1.0
3.033 0.007 0.000
-1.590 2.583 0.000
0.000 0.000 10.775
Cd Tc Cl
2 1 1
Cartesian
0.000 0.000 10.380
0.721 1.295 2.492
0.721 1.295 7.943
0.000 0.000 6.122
```

Computed properties:
- density of states at the Fermi level (states/eV/f.u.) = 3.3
- total magnetization (μB/f.u.) = 0.14
- raw formation energy (kcal/mol of atoms) = 4.73
- energy above the most stable polymorph in this dataset (meV per atom) = 85
- calculated density (g/cm³) = 7.0


(11)
## CsUPaN4 (GGA-PBE)

Data for a relaxed structure of CsUPaN4.

Cell and atoms, written as POSCAR:
```
CsUPaN4
1.0
6.352 0.000 -0.827
0.000 6.220 0.000
-3.407 0.000 8.349
N U Pa Cs
8 2 2 2
Cartesian
4.127 2.882 4.594
-1.183 5.992 2.928
1.521 4.665 4.052
4.127 0.228 4.594
-1.183 3.338 2.928
0.858 1.555 6.022
1.423 1.555 3.470
2.087 4.665 1.499
0.335 4.665 2.366
2.609 1.555 5.156
-0.651 1.555 4.264
3.595 4.665 3.258
0.220 4.665 6.911
2.724 1.555 0.610
```

Computed properties:
- total magnetization (μB/f.u.) = 0.00
- raw formation energy (kcal/mol of atoms) = -21.93
- calculated density (g/cm³) = 7.0


(12)
## GaFe3Sn (GGA-PBE)

Data for a relaxed structure of GaFe3Sn.

Cell and atoms, written as POSCAR:
```
GaFe3Sn
1.0
4.849 0.000 0.000
0.000 4.849 0.000
0.000 0.000 4.849
Fe Ga Sn
3 1 1
Cartesian
0.000 0.000 2.425
0.000 2.425 0.000
2.425 0.000 0.000
2.425 2.425 2.425
0.000 0.000 0.000
```

Computed properties:
- density of states at the Fermi level (states/eV/f.u.) = 8.6
- total magnetization (μB/f.u.) = 8.84
- energy above the most stable polymorph in this dataset (meV per atom) = 529
- calculated density (g/cm³) = 5.2
- E_form (eV per atom) = 1.317


(13)
## HoAlNiRh (GGA-PBE)

Data for a relaxed structure of HoAlNiRh.

Cell and atoms, written as POSCAR:
```
HoAlNiRh
1.0
4.517 0.000 0.000
2.258 3.912 0.000
2.258 1.304 3.688
Ho Ni Rh Al
1 1 1 1
Cartesian
6.775 3.912 2.766
4.517 2.608 1.844
0.000 0.000 0.000
2.258 1.304 0.922
```

Computed properties:
- density of states at the Fermi level (states/eV/f.u.) = 2.5
- total magnetization (μB/f.u.) = 0.00
- calculated density (g/cm³) = 9.0
- E_form (eV per atom) = -0.667


(14)
## U2Zn16In (GGA-PBE)

Data for a relaxed structure of U2Zn16In.

Cell and atoms, written as POSCAR:
```
U2Zn16In
1.0
-4.403 -3.646 3.778
4.073 -5.420 0.992
2.412 1.905 6.124
Zn In U
16 1 2
Cartesian
1.900 -1.592 6.795
0.591 -2.286 9.053
-0.595 -2.035 6.544
4.405 -5.205 6.405
0.223 -0.767 1.166
1.175 0.873 3.019
-1.480 -3.973 8.340
1.745 -7.372 5.489
-2.108 -1.802 1.889
-1.402 -4.282 5.658
-0.831 -6.833 6.336
3.900 -2.979 7.965
1.976 -2.656 0.547
2.706 -5.142 4.308
3.434 -2.878 5.220
0.194 -5.517 4.105
1.875 -6.447 9.810
0.703 -2.417 3.677
1.371 -4.715 7.174
```

Computed properties:
- density of states at the Fermi level (states/eV/f.u.) = 19.4
- total magnetization (μB/f.u.) = 5.83
- calculated density (g/cm³) = 8.6
- E_form (eV per atom) = -0.035